First-principles (PBE-GGA) data for an optimized crystal structure of Ho3AgAu2, as listed in Alexandria.

Cell: 5.0751 5.0751 12.4955 Å, 90.00 90.00 120.00°
Space group P-3m1 (No. 164)
Inequivalent atoms, fractional coordinates:
Ho  0.0000  0.0000  0.2474
Ho  0.3333  0.6667  0.4178
Ho  0.3333  0.6667  0.9201
Ag  0.3333  0.6667  0.6698
Au  0.0000  0.0000  0.0000
Au  0.0000  0.0000  0.5000
Au  0.3333  0.6667  0.1749

Properties
DFT total energy (eV/cell): -54.7
Calculated density (g cm⁻³): 11.9
V (A^3/atom): 23.23
E_form (eV per atom): -0.6979